! BaMgSc2 | the Alexandria database | GGA-PBE | optimized geometry; values from VASP
! Density of states at the Fermi level   7.1 states/eV per cell
! Size of the total moment   0.02 μB/cell
! Energy relative to the elements   1.17 eV per formula unit
! Final energy   -3.752 eV/atom
&SYSTEM
  ibrav = 0, nat = 4, ntyp = 3
/
ATOMIC_SPECIES
Ba 137.33 Ba.upf
Mg 24.30 Mg.upf
Sc 44.96 Sc.upf
CELL_PARAMETERS angstrom
0.000 3.932 3.932
3.932 0.000 3.932
3.932 3.932 0.000
ATOMIC_POSITIONS angstrom
Ba 0.000 0.000 0.000
Mg 1.966 1.966 1.966
Sc 3.932 3.932 3.932
Sc 5.898 5.898 5.898

=====

! Ti6Nb2Pb | the Alexandria database | GGA-PBE | optimized geometry; values from VASP
! Density of states at the Fermi level   26.3 states/eV per cell
! Size of the total moment   0.00 μB/cell
! Energy relative to the elements   2.47 eV per formula unit
! Final energy   -7.638 eV/atom
&SYSTEM
  ibrav = 0, nat = 18, ntyp = 3
/
ATOMIC_SPECIES
Ti 47.87 Ti.upf
Nb 92.91 Nb.upf
Pb 207.20 Pb.upf
CELL_PARAMETERS angstrom
-4.127 4.338 4.889
4.127 -4.338 4.889
4.127 4.338 -4.889
ATOMIC_POSITIONS angstrom
Ti 4.127 2.556 -2.458
Ti 2.404 0.000 1.545
Ti 5.850 0.000 1.545
Ti 1.643 2.607 0.000
Ti 2.484 -1.731 4.889
Ti 0.000 1.781 2.430
Ti 4.127 2.556 2.458
Ti 1.643 6.068 0.000
Ti 2.484 1.731 4.889
Ti -1.723 4.338 3.344
Ti 1.723 4.338 3.344
Ti 0.000 1.781 7.347
Nb 4.127 1.463 0.000
Nb 4.127 0.000 3.510
Nb 0.000 4.338 1.379
Nb 0.000 2.874 4.889
Pb 0.000 0.000 0.000
Pb 0.000 0.000 4.889

=====

! CsHg2SbSe | the Alexandria database | GGA-PBE | optimized geometry; values from VASP
! Density of states at the Fermi level   2.7 states/eV per cell
! Size of the total moment   0.00 μB/cell
! Formation energy without anion corrections   -283.5 meV/atom
! Final energy   -2.096 eV/atom
&SYSTEM
  ibrav = 0, nat = 5, ntyp = 4
/
ATOMIC_SPECIES
Cs 132.91 Cs.upf
Hg 200.59 Hg.upf
Sb 121.76 Sb.upf
Se 78.96 Se.upf
CELL_PARAMETERS angstrom
5.818 0.000 0.000
0.000 5.818 0.000
0.000 0.000 5.749
ATOMIC_POSITIONS angstrom
Cs 0.000 0.000 0.000
Hg 0.000 2.909 2.874
Hg 2.909 0.000 2.874
Sb 2.909 2.909 2.874
Se 2.909 2.909 0.000

=====

! Pm3ScZn4 | the Alexandria database | GGA-PBE | optimized geometry; values from VASP
! Density of states at the Fermi level   9.5 states/eV per cell
! Size of the total moment   0.00 μB/cell
! Energy relative to the elements   -2.49 eV per formula unit
! Final energy   -3.522 eV/atom
&SYSTEM
  ibrav = 0, nat = 8, ntyp = 3
/
ATOMIC_SPECIES
Pm 145.00 Pm.upf
Sc 44.96 Sc.upf
Zn 65.41 Zn.upf
CELL_PARAMETERS angstrom
3.565 0.000 0.000
0.000 3.565 0.000
0.000 0.000 14.486
ATOMIC_POSITIONS angstrom
Pm 0.000 0.000 0.000
Pm 0.000 0.000 3.779
Pm 0.000 0.000 10.707
Sc 0.000 0.000 7.243
Zn 1.782 1.782 1.860
Zn 1.782 1.782 5.766
Zn 1.782 1.782 8.720
Zn 1.782 1.782 12.625

=====

! Ce2ThSb2 | the Alexandria database | GGA-PBE | optimized geometry; values from VASP
! Density of states at the Fermi level   26.7 states/eV per cell
! Size of the total moment   4.00 μB/cell
! Polymorph energy (0 for the lowest one)   0.0 meV per atom
! Formation energy without anion corrections   -811.2 meV/atom
! Final energy   -6.318 eV/atom
&SYSTEM
  ibrav = 0, nat = 10, ntyp = 3
/
ATOMIC_SPECIES
Ce 140.12 Ce.upf
Th 232.04 Th.upf
Sb 121.76 Sb.upf
CELL_PARAMETERS angstrom
8.504 0.000 0.000
0.000 8.504 0.000
0.000 0.000 4.122
ATOMIC_POSITIONS angstrom
Ce 1.334 2.918 0.000
Ce 2.918 7.169 0.000
Ce 5.586 1.334 0.000
Ce 7.169 5.586 0.000
Th 0.000 0.000 2.061
Th 4.252 4.252 2.061
Sb 1.229 5.480 2.061
Sb 3.023 1.229 2.061
Sb 5.480 7.275 2.061
Sb 7.275 3.023 2.061

=====

! Ac3InGe2 | the Alexandria database | GGA-PBE | optimized geometry; values from VASP
! Density of states at the Fermi level   16.2 states/eV per cell
! Size of the total moment   0.87 μB/cell
! Polymorph energy (0 for the lowest one)   0.0 meV per atom
! Energy relative to the elements   -3.32 eV per formula unit
! Final energy   -4.604 eV/atom
&SYSTEM
  ibrav = 0, nat = 24, ntyp = 3
/
ATOMIC_SPECIES
Ac 227.00 Ac.upf
In 114.82 In.upf
Ge 72.64 Ge.upf
CELL_PARAMETERS angstrom
12.984 0.000 0.000
0.000 4.613 0.000
0.000 0.000 13.070
ATOMIC_POSITIONS angstrom
Ac 0.737 1.153 1.535
Ac 1.647 3.460 7.339
Ac 2.527 1.153 10.522
Ac 3.964 3.460 3.987
Ac 4.845 1.153 0.804
Ac 5.754 3.460 8.071
Ac 7.229 1.153 5.000
Ac 8.138 3.460 12.267
Ac 9.019 1.153 9.084
Ac 10.456 3.460 2.549
Ac 11.337 1.153 5.732
Ac 12.246 3.460 11.535
In 1.736 1.153 4.748
In 4.756 3.460 11.284
In 8.228 1.153 1.787
In 11.248 3.460 8.322
Ge 0.188 3.460 4.148
Ge 2.409 3.460 13.061
Ge 4.083 1.153 6.526
Ge 6.304 1.153 10.683
Ge 6.679 3.460 2.387
Ge 8.901 3.460 6.545
Ge 10.575 1.153 0.010
Ge 12.796 1.153 8.922

=====

! Sc12InNi5 | the Alexandria database | GGA-PBE | optimized geometry; values from VASP
! Density of states at the Fermi level   18.5 states/eV per cell
! Size of the total moment   0.00 μB/cell
! Energy relative to the elements   -6.82 eV per formula unit
! Final energy   -6.358 eV/atom
&SYSTEM
  ibrav = 0, nat = 18, ntyp = 3
/
ATOMIC_SPECIES
Sc 44.96 Sc.upf
In 114.82 In.upf
Ni 58.69 Ni.upf
CELL_PARAMETERS angstrom
-4.386 4.391 4.646
4.386 -4.391 4.646
4.386 4.391 -4.646
ATOMIC_POSITIONS angstrom
Sc 4.386 2.679 -2.575
Sc 2.482 1.607 0.000
Sc 6.289 1.607 0.000
Sc 1.756 4.391 -1.649
Sc 2.630 0.000 2.997
Sc 0.000 1.713 2.071
Sc 4.386 2.679 2.575
Sc 1.756 4.391 1.649
Sc 2.630 0.000 6.295
Sc -1.904 2.784 4.646
Sc 1.904 2.784 4.646
Sc 0.000 1.713 7.221
In 0.000 0.000 4.646
Ni 0.000 0.000 0.000
Ni 4.386 0.000 1.178
Ni 0.000 3.121 0.000
Ni 0.000 5.662 0.000
Ni 0.000 4.391 3.468

=====

! LiB2Ru | the Alexandria database | GGA-PBE | optimized geometry; values from VASP
! Density of states at the Fermi level   3.8 states/eV per cell
! Size of the total moment   0.00 μB/cell
! Polymorph energy (0 for the lowest one)   87.3 meV per atom
! Energy relative to the elements   1.36 eV per formula unit
! Final energy   -5.796 eV/atom
&SYSTEM
  ibrav = 0, nat = 8, ntyp = 3
/
ATOMIC_SPECIES
Li 6.94 Li.upf
B 10.81 B.upf
Ru 101.07 Ru.upf
CELL_PARAMETERS angstrom
-1.689 1.689 7.865
1.689 -1.689 7.865
1.689 1.689 -7.865
ATOMIC_POSITIONS angstrom
Li 1.689 0.845 1.966
Li 0.000 0.845 5.899
B 0.000 0.000 0.000
B 0.845 0.845 -3.932
B 0.845 -0.845 3.932
B 0.000 1.689 0.000
Ru 1.689 -0.845 5.899
Ru 0.000 2.534 1.966

=====

! Cs2Na16Ca | the Alexandria database | GGA-PBE | optimized geometry; values from VASP
! Density of states at the Fermi level   9.0 states/eV per cell
! Size of the total moment   0.00 μB/cell
! Energy relative to the elements   0.51 eV per formula unit
! Final energy   -1.279 eV/atom
&SYSTEM
  ibrav = 0, nat = 19, ntyp = 3
/
ATOMIC_SPECIES
Cs 132.91 Cs.upf
Na 22.99 Na.upf
Ca 40.08 Ca.upf
CELL_PARAMETERS angstrom
6.267 3.618 6.202
-6.267 3.618 6.202
0.000 -7.237 6.202
ATOMIC_POSITIONS angstrom
Cs 0.000 0.000 0.000
Cs 0.000 0.000 5.784
Na 0.000 -3.711 3.186
Na -3.214 1.856 3.186
Na -3.133 -1.809 9.115
Na 0.000 -3.535 8.822
Na -3.061 1.767 8.822
Na -1.787 -3.099 12.205
Na -3.577 0.002 12.205
Na 3.214 1.856 3.186
Na 0.000 0.000 10.293
Na 1.787 -3.099 12.205
Na -1.790 3.097 12.205
Na 3.133 -1.809 9.115
Na 0.000 3.617 9.115
Na 3.061 1.767 8.822
Na 3.577 0.002 12.205
Na 1.790 3.097 12.205
Ca 0.000 0.000 13.924

=====

! Sr8Al7 | the Alexandria database | GGA-PBE | optimized geometry; values from VASP
! Density of states at the Fermi level   46.4 states/eV per cell
! Size of the total moment   3.55 μB/cell
! Energy relative to the elements   -2.88 eV per formula unit
! Final energy   -2.835 eV/atom
&SYSTEM
  ibrav = 0, nat = 60, ntyp = 2
/
ATOMIC_SPECIES
Sr 87.62 Sr.upf
Al 26.98 Al.upf
CELL_PARAMETERS angstrom
12.751 0.000 0.000
0.000 12.751 0.000
0.000 0.000 12.751
ATOMIC_POSITIONS angstrom
Sr 0.075 2.506 11.990
Sr 0.290 2.614 5.559
Sr 0.761 6.450 3.870
Sr 0.816 12.461 8.989
Sr 2.354 10.397 4.021
Sr 2.382 8.758 10.368
Sr 2.506 11.990 0.075
Sr 2.614 5.559 0.290
Sr 3.762 7.191 6.665
Sr 3.870 0.761 6.450
Sr 3.993 3.993 3.993
Sr 4.021 2.354 10.397
Sr 5.559 0.290 2.614
Sr 5.615 6.300 10.245
Sr 6.086 10.137 11.935
Sr 6.300 10.245 5.615
Sr 6.450 3.870 0.761
Sr 6.665 3.762 7.191
Sr 7.136 12.675 8.881
Sr 7.191 6.665 3.762
Sr 8.729 8.729 8.729
Sr 8.758 10.368 2.382
Sr 8.881 7.136 12.675
Sr 8.989 0.816 12.461
Sr 10.137 11.935 6.086
Sr 10.245 5.615 6.300
Sr 10.368 2.382 8.758
Sr 10.397 4.021 2.354
Sr 11.935 6.086 10.137
Sr 11.990 0.075 2.506
Sr 12.461 8.989 0.816
Sr 12.675 8.881 7.136
Al 0.881 5.495 7.256
Al 0.975 3.226 8.804
Al 1.028 3.218 2.358
Al 2.358 1.028 3.218
Al 2.429 5.401 9.525
Al 3.149 3.947 7.350
Al 3.158 10.393 7.403
Al 3.218 2.358 1.028
Al 3.226 8.804 0.975
Al 3.947 7.350 3.149
Al 4.018 11.723 9.593
Al 5.348 9.533 8.733
Al 5.401 9.525 2.429
Al 5.495 7.256 0.881
Al 7.256 0.881 5.495
Al 7.350 3.149 3.947
Al 7.403 3.158 10.393
Al 8.733 5.348 9.533
Al 8.804 0.975 3.226
Al 9.525 2.429 5.401
Al 9.533 8.733 5.348
Al 9.593 4.018 11.723
Al 9.601 10.322 11.776
Al 10.322 11.776 9.601
Al 10.393 7.403 3.158
Al 11.723 9.593 4.018
Al 11.776 9.601 10.322
Al 11.870 11.870 11.870